Entry 1:
A plane-wave DFT calculation with PBE was carried out for an optimized crystal structure of YCdPd.

Total magnetic moment: 0.0 μB per formula unit
Calculated volume: 22.39 Å³ per atom
Formation energy: -0.555 eV/atom
SG: No. 187

```
YCdPd
1.0
3.5004 0.0000 0.0000
0.0000 4.7074 0.0000
0.0000 -2.3537 4.0767
Y Cd Pd
1 1 1
direct
0.6669 0.6667 0.3333 Y
0.1674 0.0000 0.0000 Cd
0.1656 0.3333 0.6667 Pd
```


Entry 2:
A plane-wave DFT calculation with PBE was carried out for an optimized crystal structure of YCd3Pd7.

Total magnetic moment: 0.0 μB per formula unit
Calculated volume: 19.26 Å³ per atom
Formation energy: -0.270 eV/atom
SG: No. 12

```
YCd3Pd7
1.0
-1.4645 1.1389 -5.0211
-4.9994 -0.0177 5.2607
2.8539 5.2189 4.1579
Cd Y Pd
3 1 7
direct
0.5000 0.0000 0.0000 Cd
0.0000 0.2166 0.7834 Cd
0.0000 0.7834 0.2166 Cd
0.5000 0.5000 0.5000 Y
0.3242 0.5816 0.0597 Pd
0.6758 0.4184 0.9403 Pd
0.3787 0.2087 0.2087 Pd
0.3242 0.0597 0.5816 Pd
0.6213 0.7913 0.7913 Pd
0.0000 0.5000 0.5000 Pd
0.6758 0.9403 0.4184 Pd
```


Entry 3:
A plane-wave DFT calculation with PBE was carried out for an optimized crystal structure of Y2Cd3Pd7.

Total magnetic moment: 0.0 μB per formula unit
Calculated volume: 20.17 Å³ per atom
Formation energy: -0.441 eV/atom
SG: No. 10

```
Y2Cd3Pd7
1.0
4.5506 0.0002 -0.0001
0.0003 4.6916 -0.5610
0.0001 -1.0250 11.4610
Pd Y Cd
7 2 3
direct
0.5000 0.0723 0.1436 Pd
0.0000 0.4284 0.8568 Pd
0.5000 0.7819 0.5641 Pd
0.5000 0.9277 0.8564 Pd
0.5000 0.2181 0.4359 Pd
0.0000 0.0000 0.0000 Pd
0.0000 0.5716 0.1432 Pd
0.5000 0.6499 0.3005 Y
0.5000 0.3501 0.6995 Y
0.0000 0.1454 0.2920 Cd
0.5000 0.5000 0.0000 Cd
0.0000 0.8546 0.7080 Cd
```


Entry 4:
A plane-wave DFT calculation with PBE was carried out for an optimized crystal structure of Y6CdPd2.

Total magnetic moment: 0.0 μB per formula unit
Calculated volume: 26.97 Å³ per atom
Formation energy: -0.499 eV/atom
SG: No. 71

```
Y6CdPd2
1.0
-7.1416 2.2881 4.1854
3.8567 -6.8315 3.4945
5.8358 6.2920 0.3320
Y Cd Pd
12 2 4
direct
0.1960 0.7619 0.9578 Y
0.2995 0.6265 0.3269 Y
0.8040 0.7619 0.5659 Y
0.1960 0.2381 0.4341 Y
0.7005 0.0274 0.3269 Y
0.8040 0.2381 0.0422 Y
0.4706 0.2881 0.1825 Y
0.7005 0.3735 0.6731 Y
0.5294 0.7119 0.8175 Y
0.1056 0.2881 0.8175 Y
0.2995 0.9726 0.6731 Y
0.8944 0.7119 0.1825 Y
0.0000 0.0000 0.0000 Cd
0.0000 0.5000 0.5000 Cd
0.5000 0.6322 0.1322 Pd
0.6558 0.0000 0.6558 Pd
0.3442 0.0000 0.3442 Pd
0.5000 0.3678 0.8678 Pd
```


Entry 5:
A plane-wave DFT calculation with PBE was carried out for an optimized crystal structure of Y3Cd2Pd2.

Total magnetic moment: 0.0 μB per formula unit
Calculated volume: 23.91 Å³ per atom
Formation energy: -0.623 eV/atom
SG: No. 65

```
Y3Cd2Pd2
1.0
4.0096 0.0000 0.5321
0.0000 3.7000 0.0000
0.5334 0.0000 11.3535
Cd Y Pd
2 3 2
direct
0.4198 0.5000 0.1604 Cd
0.5802 0.5000 0.8396 Cd
0.1692 0.0000 0.6617 Y
0.0000 0.0000 0.0000 Y
0.8308 0.0000 0.3383 Y
0.2902 0.5000 0.4195 Pd
0.7098 0.5000 0.5805 Pd
```


Entry 6:
A plane-wave DFT calculation with PBE was carried out for an optimized crystal structure of YCdPd.

Total magnetic moment: 0.0 μB per formula unit
Calculated volume: 24.76 Å³ per atom
Formation energy: -0.557 eV/atom
SG: No. 216

```
YCdPd
1.0
-3.1650 2.4015 2.5456
0.0756 -0.2583 4.7108
1.3620 3.7320 2.5459
Pd Y Cd
1 1 1
direct
0.2500 0.2500 0.2500 Pd
0.0000 0.0000 0.0000 Y
0.5000 0.5000 0.5000 Cd
```


Entry 7:
A plane-wave DFT calculation with PBE was carried out for an optimized crystal structure of YCd2Pd2.

Total magnetic moment: 0.0 μB per formula unit
Calculated volume: 21.35 Å³ per atom
Distance to the lowest polymorph of the same formula: 44 meV per atom
Formation energy: -0.502 eV/atom
SG: No. 139

```
YCd2Pd2
1.0
4.0287 0.0000 0.0000
0.0000 4.0287 0.0000
2.0143 2.0143 6.5757
Y Cd Pd
1 2 2
direct
0.0000 0.0000 0.0000 Y
0.7500 0.2500 0.5000 Cd
0.2500 0.7500 0.5000 Cd
0.4003 0.4003 0.1994 Pd
0.5997 0.5997 0.8006 Pd
```


Entry 8:
A plane-wave DFT calculation with PBE was carried out for an optimized crystal structure of Y2Zn2CdPd5.

Total magnetic moment: 0.0 μB per formula unit
Calculated volume: 18.14 Å³ per atom
Formation energy: -0.673 eV/atom
SG: No. 127

```
Y2Zn2CdPd5
1.0
-0.3089 3.3383 -1.8271
-7.8625 -3.3088 -4.7160
-5.7067 3.3809 7.1422
Zn Y Pd Cd
4 4 10 2
direct
0.0000 0.6194 0.8806 Zn
0.0000 0.3806 0.1194 Zn
0.0000 0.1194 0.6194 Zn
0.0000 0.8806 0.3806 Zn
0.0000 0.3230 0.8230 Y
0.0000 0.6770 0.1770 Y
0.0000 0.1770 0.3230 Y
0.0000 0.8230 0.6770 Y
0.5000 0.9306 0.2074 Pd
0.5000 0.7074 0.4306 Pd
0.5000 0.5000 0.0000 Pd
0.5000 0.7926 0.9306 Pd
0.5000 0.2074 0.0694 Pd
0.5000 0.5694 0.7074 Pd
0.5000 0.4306 0.2926 Pd
0.5000 0.0694 0.7926 Pd
0.5000 0.2926 0.5694 Pd
0.5000 0.0000 0.5000 Pd
0.0000 0.0000 0.0000 Cd
0.0000 0.5000 0.5000 Cd
```


Please write out number 2 again, unchanged.
A plane-wave DFT calculation with PBE was carried out for an optimized crystal structure of YCd3Pd7.

Total magnetic moment: 0.0 μB per formula unit
Calculated volume: 19.26 Å³ per atom
Formation energy: -0.270 eV/atom
SG: No. 12

```
YCd3Pd7
1.0
-1.4645 1.1389 -5.0211
-4.9994 -0.0177 5.2607
2.8539 5.2189 4.1579
Cd Y Pd
3 1 7
direct
0.5000 0.0000 0.0000 Cd
0.0000 0.2166 0.7834 Cd
0.0000 0.7834 0.2166 Cd
0.5000 0.5000 0.5000 Y
0.3242 0.5816 0.0597 Pd
0.6758 0.4184 0.9403 Pd
0.3787 0.2087 0.2087 Pd
0.3242 0.0597 0.5816 Pd
0.6213 0.7913 0.7913 Pd
0.0000 0.5000 0.5000 Pd
0.6758 0.9403 0.4184 Pd
```


What is the formula in the third record?
Y2Cd3Pd7


What did the eighth record say?
A plane-wave DFT calculation with PBE was carried out for an optimized crystal structure of Y2Zn2CdPd5.

Total magnetic moment: 0.0 μB per formula unit
Calculated volume: 18.14 Å³ per atom
Formation energy: -0.673 eV/atom
SG: No. 127

```
Y2Zn2CdPd5
1.0
-0.3089 3.3383 -1.8271
-7.8625 -3.3088 -4.7160
-5.7067 3.3809 7.1422
Zn Y Pd Cd
4 4 10 2
direct
0.0000 0.6194 0.8806 Zn
0.0000 0.3806 0.1194 Zn
0.0000 0.1194 0.6194 Zn
0.0000 0.8806 0.3806 Zn
0.0000 0.3230 0.8230 Y
0.0000 0.6770 0.1770 Y
0.0000 0.1770 0.3230 Y
0.0000 0.8230 0.6770 Y
0.5000 0.9306 0.2074 Pd
0.5000 0.7074 0.4306 Pd
0.5000 0.5000 0.0000 Pd
0.5000 0.7926 0.9306 Pd
0.5000 0.2074 0.0694 Pd
0.5000 0.5694 0.7074 Pd
0.5000 0.4306 0.2926 Pd
0.5000 0.0694 0.7926 Pd
0.5000 0.2926 0.5694 Pd
0.5000 0.0000 0.5000 Pd
0.0000 0.0000 0.0000 Cd
0.0000 0.5000 0.5000 Cd
```